# 1
MnAlAgPd2: optimized geometry, PBE.

Geometry as extended XYZ:
```
5
Lattice="-2.5768 3.4310 1.2561 -3.3445 -2.8338 0.8796 1.5256 -0.4487 4.3553" Properties=species:S:1:pos:R:3 pbc="T T T"
Mn -2.1978 0.0743 3.2455
Pd -1.6722 -1.4169 0.4398
Pd -1.2884 1.7155 0.6280
Ag 0.7628 -0.2244 2.1777
Al 0.0000 0.0000 0.0000
```

## Properties
space-group type = P4/mmm
final energy = -4.857 eV per atom
volume = 18.54 A^3/atom
energy of formation = 0.37 eV/atom


# 2
La6Cd2CoNi: optimized geometry, PBE.

Geometry as extended XYZ:
```
10
Lattice="-2.7338 -1.6747 -6.9797 -4.5520 -5.1204 3.4738 -0.1071 7.1204 2.3243" Properties=species:S:1:pos:R:3 pbc="T T T"
La -5.1456 1.5323 -0.3796
La -5.9918 -1.9228 -1.6750
La -2.2503 -1.2134 -0.7987
La -3.3014 4.5805 -2.0616
La -1.4042 2.2411 0.4966
La -4.2014 2.8587 3.2076
Cd -3.2434 1.0188 -3.1981
Cd -4.1523 -0.7006 2.0197
Co -2.8420 5.4426 -4.6537
Ni -3.7516 3.7199 0.5728
```

## Properties
space-group type = P-1
final energy = -4.620 eV per atom
volume = 31.31 A^3/atom
energy of formation = -0.19 eV/atom


# 3
Ca4Mg2N: optimized geometry, PBE.

Geometry as extended XYZ:
```
7
Lattice="4.9169 0.0000 0.0000 0.0000 4.9169 0.0000 2.4585 2.4585 8.5012" Properties=species:S:1:pos:R:3 pbc="T T T"
Ca 2.4585 2.4585 6.0588
Ca 4.9169 4.9169 2.4423
Ca 0.0000 2.4585 0.0000
Ca 2.4585 0.0000 0.0000
Mg 2.4585 2.4585 2.6481
Mg 4.9169 4.9169 5.8531
N 0.0000 0.0000 0.0000
```

## Properties
space-group type = I4/mmm
final energy = -3.020 eV per atom
volume = 29.36 A^3/atom
ΔE_f (raw) = -231 meV/atom


# 4
Er2TlTe: optimized geometry, PBE.

Geometry as extended XYZ:
```
4
Lattice="3.6554 0.0000 0.0000 0.0000 3.6554 0.0000 0.0000 0.0000 8.0879" Properties=species:S:1:pos:R:3 pbc="T T T"
Tl 1.8277 1.8277 4.0439
Te 1.8277 1.8277 0.0000
Er 0.0000 0.0000 6.1600
Er 0.0000 0.0000 1.9279
```

## Properties
space-group type = P4/mmm
final energy = -4.294 eV per atom
volume = 27.02 A^3/atom
ΔE_f (raw) = -636 meV/atom